Computed, not measured: crystalline AcTm4Zn5 at its relaxed geometry at the PBE level of DFT.

Geometry as CIF:
```
data_AcTm4Zn5
_symmetry_space_group_name_H-M 'P 1'
_symmetry_Int_Tables_number 1
_symmetry_space_group_name_Hall 'P 1'
_cell_length_a 3.5899
_cell_length_b 3.5899
_cell_length_c 18.0658
_cell_angle_alpha 90.00
_cell_angle_beta 90.00
_cell_angle_gamma 90.00
loop_
_atom_site_label
_atom_site_type_symbol
_atom_site_fract_x
_atom_site_fract_y
_atom_site_fract_z
Ac1 Ac 0.0000 0.0000 0.0000
Tm1 Tm 0.0000 0.0000 0.2132
Tm2 Tm 0.0000 0.0000 0.4049
Tm3 Tm 0.0000 0.0000 0.5951
Tm4 Tm 0.0000 0.0000 0.7868
Zn1 Zn 0.5000 0.5000 0.1239
Zn2 Zn 0.5000 0.5000 0.3080
Zn3 Zn 0.5000 0.5000 0.5000
Zn4 Zn 0.5000 0.5000 0.6920
Zn5 Zn 0.5000 0.5000 0.8761
```

Values from the calculation:
V   232.8 Å³/cell
Size of the total moment   0.00 Bohr magnetons per cell
Space-group type   P4/mmm, No. 123
Energy of formation from the pure elements   -29.83 kJ/mol of atoms

---

Computed, not measured: crystalline Ac2TmZn4 at its relaxed geometry at the PBE level of DFT.

Geometry as CIF:
```
data_Ac2TmZn4
_symmetry_space_group_name_H-M 'P 1'
_symmetry_Int_Tables_number 1
_symmetry_space_group_name_Hall 'P 1'
_cell_length_a 7.6703
_cell_length_b 7.6703
_cell_length_c 7.6703
_cell_angle_alpha 138.91
_cell_angle_beta 138.91
_cell_angle_gamma 59.52
loop_
_atom_site_label
_atom_site_type_symbol
_atom_site_fract_x
_atom_site_fract_y
_atom_site_fract_z
Ac1 Ac 0.2189 0.2189 0.0000
Ac2 Ac 0.7811 0.7811 0.0000
Tm1 Tm 0.5000 0.5000 0.0000
Zn1 Zn 0.0970 0.5970 0.5000
Zn2 Zn 0.4030 0.9030 0.5000
Zn3 Zn 0.5970 0.0970 0.5000
Zn4 Zn 0.9030 0.4030 0.5000
```

Values from the calculation:
V   193.0 Å³/cell
Size of the total moment   0.00 Bohr magnetons per cell
Space-group type   I4/mmm, No. 139
Energy of formation from the pure elements   -11.24 kJ/mol of atoms

---

Computed, not measured: crystalline AcTm2Zn6 at its relaxed geometry at the PBE level of DFT.

Geometry as CIF:
```
data_AcTm2Zn6
_symmetry_space_group_name_H-M 'P 1'
_symmetry_Int_Tables_number 1
_symmetry_space_group_name_Hall 'P 1'
_cell_length_a 7.8832
_cell_length_b 7.8832
_cell_length_c 3.5850
_cell_angle_alpha 90.00
_cell_angle_beta 90.00
_cell_angle_gamma 120.00
loop_
_atom_site_label
_atom_site_type_symbol
_atom_site_fract_x
_atom_site_fract_y
_atom_site_fract_z
Ac1 Ac 0.0000 0.0000 0.0000
Tm1 Tm 0.3333 0.6667 0.0000
Tm2 Tm 0.6667 0.3333 0.0000
Zn1 Zn 0.0000 0.3425 0.5000
Zn2 Zn 0.0000 0.6575 0.5000
Zn3 Zn 0.3425 0.0000 0.5000
Zn4 Zn 0.3425 0.3425 0.5000
Zn5 Zn 0.6575 0.0000 0.5000
Zn6 Zn 0.6575 0.6575 0.5000
```

Values from the calculation:
V   193.0 Å³/cell
Size of the total moment   0.00 Bohr magnetons per cell
Space-group type   P6/mmm, No. 191
Energy of formation from the pure elements   -29.52 kJ/mol of atoms

---

> What is the formula in the third record?

AcTm2Zn6